1:
DFT (PBE) results for a relaxed structure of ZrAg5.

- total moment (μB/f.u.) = 0.000

Cell lengths 12.6069, 2.9803, 2.9803 Å; angles 90.00, 90.00, 90.00 degrees
With the nearest neighbours (Å) after each atom.
Fractional coordinates of all 6 atoms:
Ag: 0.0093 0.0000 0.0000  8 Ag 2.94-2.98, 4 Zr 3.06
Ag: 0.1721 0.5000 0.5000  12 Ag 2.93-2.98
Ag: 0.3333 0.0000 0.0000  12 Ag 2.93-2.98
Ag: 0.4946 0.5000 0.5000  12 Ag 2.93-2.98
Ag: 0.6574 0.0000 0.0000  8 Ag 2.94-2.98, 4 Zr 3.06
Zr: 0.8333 0.5000 0.5000  4 Zr 2.98, 8 Ag 3.06

=====

2:
DFT (PBE) results for a relaxed structure of ZrAg5.

- total moment (μB/f.u.) = 0.000

Cell lengths 4.4222, 6.7387, 4.0057 Å; angles 90.00, 90.00, 70.85 degrees
With the nearest neighbours (Å) after each atom.
Fractional coordinates of all 6 atoms:
Ag: 0.1964 0.6071 0.5000  10 Ag 2.90-3.08, 2 Zr 2.94
Ag: 0.3616 0.2769 0.0000  10 Ag 2.90-3.07, 2 Zr 3.06
Ag: 0.5278 0.9444 0.5000  8 Ag 2.91-3.08, 4 Zr 2.98
Ag: 0.6940 0.6120 0.0000  10 Ag 2.90-3.07, 2 Zr 3.06
Ag: 0.8591 0.2818 0.5000  10 Ag 2.90-3.08, 2 Zr 2.94
Zr: 0.0278 0.9445 0.0000  12 Ag 2.94-3.06

=====

Stability verdict: 1, ahead by 59 meV/atom

=====

1:
DFT (PBE) results for a relaxed structure of ZrAg5.

- total moment (μB/f.u.) = 0.000

Cell lengths 3.9394, 5.1274, 6.9324 Å; angles 61.09, 73.49, 67.41 degrees
With the nearest neighbours (Å) after each atom.
Fractional coordinates of all 6 atoms:
Zr: 0.3056 0.5000 0.8889  12 Ag 2.94-3.16
Ag: 0.9748 0.9930 0.0574  9 Ag 2.92-3.21, 3 Zr 2.94-2.99
Ag: 0.3055 0.0001 0.3889  10 Ag 2.89-3.03, 2 Zr 3.16
Ag: 0.6363 0.0070 0.7203  9 Ag 2.92-3.21, 3 Zr 2.94-2.99
Ag: 0.6416 0.4911 0.2258  10 Ag 2.89-3.21, 2 Zr 2.97
Ag: 0.9695 0.5089 0.5521  10 Ag 2.89-3.21, 2 Zr 2.97

=====

2:
DFT (PBE) results for a relaxed structure of ZrAg5.

- total moment (μB/f.u.) = 0.000

Cell lengths 5.0793, 5.0793, 4.9863 Å; angles 90.00, 90.00, 120.00 degrees
With the nearest neighbours (Å) after each atom.
Fractional coordinates of all 6 atoms:
Ag: 0.0000 0.0000 0.0000  10 Ag 2.93-3.01, 2 Zr 3.01
Ag: 0.6667 0.3333 0.0000  10 Ag 2.93-3.01, 2 Zr 3.01
Ag: 0.3333 0.6667 0.0000  10 Ag 2.93-3.01, 2 Zr 3.01
Ag: 0.3333 0.0000 0.5000  3 Zr 2.93, 9 Ag 2.93-3.01
Ag: 0.0000 0.3333 0.5000  3 Zr 2.93, 9 Ag 2.93-3.01
Zr: 0.6667 0.6667 0.5000  12 Ag 2.93-3.01

=====

Stability verdict: 2, ahead by 25 meV/atom

=====

1:
DFT (PBE) results for a relaxed structure of ZrAg5.

- total moment (μB/f.u.) = 0.000

Cell lengths 2.9229, 5.7969, 7.1750 Å; angles 106.27, 90.00, 104.60 degrees
With the nearest neighbours (Å) after each atom.
Fractional coordinates of all 6 atoms:
Ag: 0.9981 0.9961 0.0181  8 Ag 2.92-2.96, 3 Zr 3.04-3.07
Ag: 0.3845 0.7689 0.2767  10 Ag 2.90-3.13, 2 Zr 3.02
Ag: 0.6720 0.3440 0.3382  11 Ag 2.92-3.13, 1 Zr 3.07
Ag: 0.0544 0.1088 0.5938  9 Ag 2.90-3.13, 2 Zr 2.96
Ag: 0.3441 0.6881 0.6735  10 Ag 2.92-3.13, 2 Zr 3.05
Zr: 0.7137 0.4273 0.9331  2 Zr 2.92, 10 Ag 2.96-3.07

=====

2:
DFT (PBE) results for a relaxed structure of ZrAg5.

- total moment (μB/f.u.) = 0.916

Cell lengths 5.3942, 5.3942, 4.7555 Å; angles 90.00, 90.00, 120.00 degrees
With the nearest neighbours (Å) after each atom.
Fractional coordinates of all 6 atoms:
Zr: 0.0000 0.0000 0.0000  6 Ag 3.11
Ag: 0.0000 0.5000 0.5000  8 Ag 2.70-2.84
Ag: 0.3333 0.6667 0.0000  9 Ag 2.84-3.11, 3 Zr 3.11
Ag: 0.5000 0.0000 0.5000  8 Ag 2.70-2.84
Ag: 0.5000 0.5000 0.5000  8 Ag 2.70-2.84
Ag: 0.6667 0.3333 0.0000  9 Ag 2.84-3.11, 3 Zr 3.11

=====

3:
DFT (PBE) results for a relaxed structure of ZrAg5.

- total moment (μB/f.u.) = 0.000

Cell lengths 2.9055, 7.9380, 4.9335 Å; angles 90.00, 90.00, 79.45 degrees
With the nearest neighbours (Å) after each atom.
Fractional coordinates of all 6 atoms:
Ag: 0.0002 0.9997 0.0000  10 Ag 2.91-3.05, 2 Zr 3.00
Ag: 0.6654 0.6693 0.0000  12 Ag 2.91-3.00
Ag: 0.3282 0.3435 0.0000  8 Ag 2.91-3.05, 4 Zr 3.03
Ag: 0.5597 0.8806 0.5000  10 Ag 2.91-3.01, 2 Zr 3.01
Ag: 0.2221 0.5559 0.5000  10 Ag 2.91-3.00, 2 Zr 3.01
Zr: 0.8911 0.2178 0.5000  2 Zr 2.91, 10 Ag 3.00-3.03

=====

4:
DFT (PBE) results for a relaxed structure of ZrAg5.

- total moment (μB/f.u.) = 0.000

Cell lengths 5.4463, 5.4463, 5.4463 Å; angles 60.00, 60.00, 60.00 degrees
With the nearest neighbours (Å) after each atom.
Fractional coordinates of all 6 atoms:
Zr: 0.0000 0.0000 0.0000  16 Ag 3.19-3.34
Ag: 0.8745 0.3752 0.3752  6 Ag 2.72-2.73
Ag: 0.7500 0.7500 0.7500  12 Ag 3.19, 4 Zr 3.34
Ag: 0.3752 0.8745 0.3752  6 Ag 2.72-2.73
Ag: 0.3752 0.3752 0.3752  6 Ag 2.72-2.73
Ag: 0.3752 0.3752 0.8745  6 Ag 2.72-2.73

=====

Stability verdict: 3, ahead by 16 meV/atom